1.
VASP calculation (GGA-PBE) on Cs3CeHo2S6 after structural relaxation.

Cell: 7.193 12.459 8.404 Å, 90.00 106.57 90.00°
Space group C2/m (No. 12)
Symmetry-distinct sites (fractional):
Cs  0.000  0.000  0.000 [2 per cell]
Cs  0.000  0.334  0.000 [4 per cell]
Ce  0.000  0.500  0.500 [2 per cell]
Ho  0.000  0.167  0.500 [4 per cell]
S  0.218  0.000  0.682 [4 per cell]
S  0.232  0.329  0.682 [8 per cell]

Raw formation energy ... -1800 meV per atom
Mass density ... 4.9 g cm⁻³
Energy ... -5.335 eV per atom



2.
VASP calculation (GGA-PBE) on Cs2CeHoSe4 after structural relaxation.

Cell: 7.533 4.347 8.738 Å, 90.00 106.64 90.00°
Space group P2/m (No. 10)
Symmetry-distinct sites (fractional):
Cs  0.000  0.000  0.000 [1 per cell]
Cs  0.500  0.500  0.000 [1 per cell]
Ce  0.000  0.500  0.500 [1 per cell]
Ho  0.500  0.000  0.500 [1 per cell]
Se  0.238  0.000  0.688 [2 per cell]
Se  0.280  0.500  0.315 [2 per cell]

Raw formation energy ... -1688 meV per atom
Mass density ... 5.4 g cm⁻³
Energy ... -4.958 eV per atom



3.
VASP calculation (GGA-PBE) on Cs2CeHo2Se6 after structural relaxation.

Cell: 7.263 12.595 8.923 Å, 90.00 105.90 90.00°
Space group C2/m (No. 12)
Symmetry-distinct sites (fractional):
Cs  0.000  0.167  0.000 [4 per cell]
Ce  0.000  0.000  0.500 [2 per cell]
Ho  0.000  0.333  0.500 [4 per cell]
Se  0.228  0.167  0.682 [8 per cell]
Se  0.228  0.500  0.681 [4 per cell]

Raw formation energy ... -1728 meV per atom
Mass density ... 5.1 g cm⁻³
Energy ... -5.155 eV per atom



4.
VASP calculation (GGA-PBE) on Cs3CeHo2Se6 after structural relaxation.

Cell: 7.481 12.957 8.734 Å, 90.00 106.60 90.00°
Space group C2/m (No. 12)
Symmetry-distinct sites (fractional):
Cs  0.000  0.000  0.000 [2 per cell]
Cs  0.000  0.335  0.000 [4 per cell]
Ce  0.000  0.500  0.500 [2 per cell]
Ho  0.000  0.167  0.500 [4 per cell]
Se  0.219  0.000  0.685 [4 per cell]
Se  0.234  0.328  0.686 [8 per cell]

Raw formation energy ... -1696 meV per atom
Mass density ... 5.5 g cm⁻³
Energy ... -4.909 eV per atom